Entry 1:
A plane-wave DFT calculation with GGA-PBE was carried out for a relaxed structure of Li4SmCu.

a = 5.3472 Å, b = 5.3472 Å, c = 5.3472 Å
α = 60.00°, β = 60.00°, γ = 60.00°
Closest atoms and distances in Å follow each position.
Atoms (fractional coordinates):
Cu 0.0000 0.0000 0.0000  12 Li 3.13, 4 Sm 3.27
Sm 0.2500 0.2500 0.2500  12 Li 3.14, 4 Cu 3.27
Li 0.6282 0.6282 0.1154  6 Li 2.61-2.74
Li 0.6282 0.1154 0.6282  6 Li 2.61-2.74
Li 0.6282 0.6282 0.6282  6 Li 2.61-2.74
Li 0.1154 0.6282 0.6282  6 Li 2.61-2.74

Values from the calculation:
N(E_F) = 3.79 states/eV/cell
spin magnetization = 0.00 μB/f.u.
formation enthalpy at 0 K = 69 kJ/mol of formula units


Entry 2:
A plane-wave DFT calculation with GGA-PBE was carried out for a relaxed structure of Nd2PuZrN4.

a = 3.4798 Å, b = 6.0101 Å, c = 6.0885 Å
α = 109.09°, β = 90.00°, γ = 90.00°
Closest atoms and distances in Å follow each position.
Atoms (fractional coordinates):
Nd 0.5000 0.0000 0.5000  6 N 2.55-2.57
Nd 0.0000 0.5000 0.5000  6 N 2.59-2.61
Pu 0.5000 0.5000 0.0000  6 N 2.39
Zr 0.0000 0.0000 0.0000  6 N 2.33-2.36
N 0.5000 0.2338 0.2189  2 Zr 2.36, 1 Pu 2.39, 3 Nd 2.55-2.59
N 0.5000 0.7662 0.7811  2 Zr 2.36, 1 Pu 2.39, 3 Nd 2.55-2.59
N 0.0000 0.2534 0.7819  1 Zr 2.33, 2 Pu 2.39, 2 Nd 2.57
N 0.0000 0.7466 0.2181  1 Zr 2.33, 2 Pu 2.39, 2 Nd 2.57

Values from the calculation:
N(E_F) = 6.54 states/eV/cell
spin magnetization = 4.63 μB/f.u.
formation energy from raw total energies = -1.440 eV per atom


Entry 3:
A plane-wave DFT calculation with GGA-PBE was carried out for a relaxed structure of HfGa2Pd.

a = 3.0721 Å, b = 3.0721 Å, c = 7.0301 Å
α = 90.00°, β = 90.00°, γ = 90.00°
Closest atoms and distances in Å follow each position.
Atoms (fractional coordinates):
Hf 0.5000 0.5000 0.5000  8 Ga 2.92, 4 Hf 3.07
Ga 0.0000 0.0000 0.7771  4 Pd 2.68, 4 Hf 2.92
Ga 0.0000 0.0000 0.2229  4 Pd 2.68, 4 Hf 2.92
Pd 0.5000 0.5000 0.0000  8 Ga 2.68

Values from the calculation:
N(E_F) = 1.99 states/eV/cell
spin magnetization = 0.00 μB/f.u.
formation enthalpy at 0 K = -207 kJ/mol of formula units


Entry 4:
A plane-wave DFT calculation with GGA-PBE was carried out for a relaxed structure of HoIF.

a = 7.3961 Å, b = 7.3961 Å, c = 6.6241 Å
α = 90.00°, β = 90.00°, γ = 120.00°
Closest atoms and distances in Å follow each position.
Atoms (fractional coordinates):
Ho 0.8740 0.3336 0.6110  2 F 2.16
Ho 0.4596 0.1260 0.9443  2 F 2.16
Ho 0.6664 0.5404 0.2777  2 F 2.16
I 0.6665 0.9645 0.2778  3 Ho 3.14-3.24, 2 F 3.38
I 0.0355 0.7021 0.9445  3 Ho 3.14-3.24, 2 F 3.38
I 0.2979 0.3335 0.6112  3 Ho 3.14-3.24, 2 F 3.38
F 0.9452 0.6123 0.4445  2 Ho 2.16
F 0.6671 0.0548 0.7778  2 Ho 2.16
F 0.3877 0.3329 0.1112  2 Ho 2.16

Values from the calculation:
N(E_F) = 2.74 states/eV/cell
spin magnetization = 0.00 μB/f.u.
formation energy from raw total energies = -2.104 eV per atom


Looking at V for the records above, in order, we have 108.1 120.3 66.3 104.6 Å³/f.u..